Record 1
DFT (PBE) results for a relaxed structure of TbCeSe.

abc: 3.8957 3.8957 6.7238
angles: 90.00 90.00 120.00
Space group P3m1 (No. 156)
Symmetry-distinct sites (fractional):
Tb 0.0000 0.0000 0.0000 [1 per cell]
Ce 0.6667 0.3333 0.4455 [1 per cell]
Se 0.3333 0.6667 0.7318 [1 per cell]

Summary:
ΔE_f (raw): -1.000 eV/atom
density of states at the Fermi level: 7.2 states/eV/f.u.
energy relative to the lowest polymorph listed for this composition: 0.068 eV per atom

***

Record 2
DFT (PBE) results for a relaxed structure of Tb2CeSe3.

abc: 4.103 5.849 12.461
angles: 90.00 90.00 90.00
Space group Immm (No. 71)
Symmetry-distinct sites (fractional):
Tb 0.000 0.000 0.165 [4 per cell]
Ce 0.000 0.000 0.500 [2 per cell]
Se 0.000 0.500 0.172 [4 per cell]
Se 0.000 0.500 0.500 [2 per cell]

Summary:
ΔE_f (raw): -1.793 eV/atom
density of states at the Fermi level: 7.2 states/eV/f.u.